(1)
BeSbP2S: relaxed, GGA-PBEsol.

Cell: 4.3692 4.3692 4.2703 Å, 90.00 90.00 90.00°
Sites, in units of the cell vectors:
Be 0.0000 0.0000 0.0000
Sb 0.5000 0.5000 0.5000
P 0.0000 0.5000 0.0000
P 0.5000 0.0000 0.0000
S 0.0000 0.0000 0.5000

Summary:
E_form (uncorrected) = 0.4127 eV/atom
VASP energy = -22.5 eV/f.u.



(2)
ScBePS2: relaxed, GGA-PBEsol.

Cell: 4.7712 4.7712 4.9169 Å, 90.00 90.00 90.00°
Sites, in units of the cell vectors:
Sc 0.0000 0.0000 0.0000
Be 0.5000 0.5000 0.5000
P 0.0000 0.0000 0.5000
S 0.0000 0.5000 0.0000
S 0.5000 0.0000 0.0000

Summary:
E_form (uncorrected) = 0.4131 eV/atom
VASP energy = -23.1 eV/f.u.



(3)
BeSiPS2: relaxed, GGA-PBEsol.

Cell: 4.4139 4.4139 4.4764 Å, 90.00 90.00 90.00°
Sites, in units of the cell vectors:
Be 0.0000 0.0000 0.0000
Si 0.5000 0.5000 0.5000
P 0.5000 0.5000 0.0000
S 0.0000 0.5000 0.5000
S 0.5000 0.0000 0.5000

Summary:
E_form (uncorrected) = 0.7235 eV/atom
VASP energy = -20.7 eV/f.u.



(4)
BeSnP2S: relaxed, GGA-PBEsol.

Cell: 4.3231 4.3231 4.4661 Å, 90.00 90.00 90.00°
Sites, in units of the cell vectors:
Be 0.0000 0.0000 0.0000
Sn 0.5000 0.5000 0.5000
P 0.0000 0.5000 0.0000
P 0.5000 0.0000 0.0000
S 0.0000 0.0000 0.5000

Summary:
E_form (uncorrected) = 0.3628 eV/atom
VASP energy = -22.4 eV/f.u.



(5)
BeZnP2S: relaxed, GGA-PBEsol.

Cell: 4.1599 4.1599 4.4513 Å, 90.00 90.00 90.00°
Sites, in units of the cell vectors:
Be 0.0000 0.0000 0.0000
Zn 0.5000 0.5000 0.5000
P 0.0000 0.5000 0.0000
P 0.5000 0.0000 0.0000
S 0.0000 0.0000 0.5000

Summary:
E_form (uncorrected) = 0.5951 eV/atom
VASP energy = -18.6 eV/f.u.



(6)
BeSb2P: relaxed, GGA-PBEsol.

Cell: 6.6781 6.6781 6.6781 Å, 32.85 32.85 32.85°
Sites, in units of the cell vectors:
Be 0.0000 0.0000 0.0000
Sb 0.2569 0.2569 0.2569
Sb 0.7431 0.7431 0.7431
P 0.5000 0.5000 0.5000

Summary:
Energy above the most stable polymorph in this dataset = 0.000 eV/atom
E_form (uncorrected) = 0.2664 eV/atom
VASP energy = -17.8 eV/f.u.